(1)
Entry from Alexandria: a geometry-optimized V2Mo2As structure (PBE).

Unit cell a=3.4831 b=3.4831 c=7.3093 alpha=76.22 beta=76.22 gamma=90.00
Last column: magnetic moment on the atom in μB.
Atoms (fractional coordinates):
1 Mo 0.7500 0.2500 0.5000  0.01
2 Mo 0.2500 0.7500 0.5000  0.01
3 As 0.0000 0.0000 0.0000  -0.03
4 V 0.4101 0.4101 0.1798  0.50
5 V 0.5899 0.5899 0.8202  0.50

## Properties
V: 83.49 Å³ per cell
DFT formation energy: 0.550 eV per atom
Polymorph energy (0 for the lowest one): 227 meV/atom
Crystal system: tetragonal
Fermi-level density of states: 7.7 states/eV per cell

=====

(2)
Entry from Alexandria: a geometry-optimized Pr7Cu2Rh2 structure (PBE).

Unit cell a=6.9064 b=7.2329 c=6.9064 alpha=90.00 beta=111.77 gamma=90.00
Atoms (fractional coordinates):
1 Pr 0.9998 0.2684 0.5003
2 Pr 0.5003 0.7316 0.9998
3 Pr 0.0002 0.7316 0.4997
4 Pr 0.4997 0.2684 0.0002
5 Pr 0.0000 0.0000 0.0000
6 Pr 0.5002 0.7398 0.4998
7 Pr 0.4998 0.2602 0.5002
8 Cu 0.8377 0.5000 0.8377
9 Cu 0.1623 0.5000 0.1623
10 Rh 0.6983 0.0000 0.3017
11 Rh 0.3017 0.0000 0.6983

## Properties
V: 320.39 Å³ per cell
DFT formation energy: -0.161 eV per atom
Crystal system: orthorhombic
Fermi-level density of states: 12.2 states/eV per cell

=====

The highest Fermi-level density of states belongs to which entry? Pr7Cu2Rh2